Pa2Ni5H5 | PBE | optimized geometry

Unit cell a=4.1885 b=4.7255 c=6.7395 alpha=90.00 beta=103.77 gamma=90.00
With the nearest neighbours (Å) after each atom.
Fractional coordinates of all 12 atoms:
Pa  0.0000  0.0000  0.0000  6 H 2.37-2.58
Pa  0.0000  0.5000  0.5000  2 H 2.52, 4 Ni 2.63
Ni  0.4570  0.2449  0.3041  2 H 1.73-1.74
Ni  0.4570  0.7551  0.3041  2 H 1.73-1.74
Ni  0.5000  0.5000  0.0000  2 H 1.58
Ni  0.5430  0.2449  0.6959  2 H 1.73-1.74
Ni  0.5430  0.7551  0.6959  2 H 1.73-1.74
H  0.1257  0.5000  0.8844  1 Ni 1.58
H  0.2423  0.0000  0.7159  2 Ni 1.74
H  0.5000  0.0000  0.5000  4 Ni 1.73
H  0.7577  0.0000  0.2841  2 Ni 1.74
H  0.8743  0.5000  0.1156  1 Ni 1.58

Output
Crystal system = monoclinic
V = 10.80 Å³/atom
Final energy = -5.490 eV/atom



GdSClO4 | PBE | optimized geometry

Unit cell a=9.5844 b=6.6211 c=6.9014 alpha=90.00 beta=104.59 gamma=90.00
With the nearest neighbours (Å) after each atom.
Fractional coordinates of all 28 atoms:
Gd  0.2380  0.0983  0.1761  5 O 2.30-2.48
Gd  0.2380  0.4017  0.6761  5 O 2.30-2.48
Gd  0.7620  0.5983  0.3239  5 O 2.30-2.48
Gd  0.7620  0.9017  0.8239  5 O 2.30-2.48
S  0.3569  0.5611  0.2097  4 O 1.46-1.52
S  0.3569  0.9389  0.7097  4 O 1.46-1.52
S  0.6431  0.0611  0.2903  4 O 1.46-1.52
S  0.6431  0.4389  0.7903  4 O 1.46-1.52
Cl  0.0324  0.1499  0.8195  3 Gd 2.76-3.08, 3 O 2.96-3.09
Cl  0.0324  0.3501  0.3195  3 Gd 2.76-3.08, 3 O 2.96-3.09
Cl  0.9676  0.6499  0.6805  3 Gd 2.76-3.08, 3 O 2.96-3.09
Cl  0.9676  0.8501  0.1805  3 Gd 2.76-3.08, 3 O 2.96-3.09
O  0.2814  0.0703  0.5336  1 S 1.52
O  0.2814  0.4297  0.0336  1 S 1.52
O  0.2816  0.7442  0.6969  1 S 1.47
O  0.2816  0.7558  0.1969  1 S 1.47
O  0.3433  0.0575  0.8870  1 S 1.49
O  0.3433  0.4425  0.3870  1 S 1.49
O  0.4923  0.0903  0.2935  1 S 1.46
O  0.4923  0.4097  0.7935  1 S 1.46
O  0.5077  0.5903  0.2065  1 S 1.46
O  0.5077  0.9097  0.7065  1 S 1.46
O  0.6567  0.5575  0.6130  1 S 1.49
O  0.6567  0.9425  0.1130  1 S 1.49
O  0.7184  0.2442  0.8031  1 S 1.47
O  0.7184  0.2558  0.3031  1 S 1.47
O  0.7186  0.5703  0.9664  1 S 1.52
O  0.7186  0.9297  0.4664  1 S 1.52

Output
Raw formation energy = -2135.5 meV/atom
Crystal system = monoclinic
V = 15.14 Å³/atom



Size of the total moment values (in Bohr magnetons per cell) by entry order: 0.0 28.0.